## HfInI2O (PBE-GGA)

Data for crystalline HfInI2O at its relaxed geometry.

a b c (Å): 6.048 6.048 3.886
angles (deg): 90.00 90.00 90.00
Positions (direct):
I 0.000 0.500 0.000
O 0.000 0.000 0.500
I 0.500 0.000 0.000
Hf 0.500 0.500 0.500
In 0.000 0.000 0.000

Calculated values
The value obtained for the distance to the lowest polymorph of the same formula is 1.2438 eV per atom. Its crystal system is tetragonal. Its formation energy from raw total energies is 0.1338 eV per atom.